{"formula": "Cs3AlF6", "functional": "PBE", "state": "optimized geometry", "raw_formation_energy_ev_per_atom": -3.145, "crystal_system": "cubic", "spacegroup": "Fm-3m", "lattice_angstrom": [[0.0000, 4.7011, 4.7011], [4.7011, 0.0000, 4.7011], [4.7011, 4.7011, 0.0000]], "species": ["Cs", "Cs", "Cs", "Al", "F", "F", "F", "F", "F", "F"], "frac_coords": [[0.0000, 0.0000, 0.0000], [0.2500, 0.2500, 0.2500], [0.7500, 0.7500, 0.7500], [0.5000, 0.5000, 0.5000], [0.3035, 0.3035, 0.6965], [0.3035, 0.6965, 0.3035], [0.3035, 0.6965, 0.6965], [0.6965, 0.3035, 0.3035], [0.6965, 0.3035, 0.6965], [0.6965, 0.6965, 0.3035]]}



{"formula": "Tl2AgAu", "functional": "PBE", "state": "optimized geometry", "de_polymorph_mev_per_atom": 68.1, "crystal_system": "monoclinic", "spacegroup": "C2/m", "formation_enthalpy_0k_ev_per_atom": 0.098, "lattice_angstrom": [[3.5300, -3.5516, 0.0000], [3.5300, 3.5516, 0.0000], [-0.0364, 0.0000, 3.7882]], "species": ["Tl", "Tl", "Ag", "Au"], "frac_coords": [[0.0000, 0.5000, 0.0000], [0.5000, 0.0000, 0.0000], [0.0000, 0.0000, 0.5000], [0.5000, 0.5000, 0.5000]]}



{"formula": "PrEr12Co6", "functional": "PBE", "state": "optimized geometry", "crystal_system": "cubic", "spacegroup": "Im-3", "formation_enthalpy_0k_ev_per_atom": -0.153, "lattice_angstrom": [[-4.8489, 4.8489, 4.8489], [4.8489, -4.8489, 4.8489], [4.8489, 4.8489, -4.8489]], "species": ["Pr", "Er", "Er", "Er", "Er", "Er", "Er", "Er", "Er", "Er", "Er", "Er", "Er", "Co", "Co", "Co", "Co", "Co", "Co"], "frac_coords": [[0.0000, 0.0000, 0.0000], [0.1156, 0.8062, 0.3093], [0.1938, 0.3093, 0.5031], [0.1938, 0.6907, 0.8844], [0.3093, 0.1156, 0.8062], [0.3093, 0.5031, 0.1938], [0.4969, 0.8062, 0.6907], [0.5031, 0.1938, 0.3093], [0.6907, 0.4969, 0.8062], [0.6907, 0.8844, 0.1938], [0.8062, 0.3093, 0.1156], [0.8062, 0.6907, 0.4969], [0.8844, 0.1938, 0.6907], [0.1136, 0.6136, 0.5000], [0.3864, 0.5000, 0.8864], [0.5000, 0.1136, 0.6136], [0.5000, 0.8864, 0.3864], [0.6136, 0.5000, 0.1136], [0.8864, 0.3864, 0.5000]]}



{"formula": "K2RbAg", "functional": "PBE", "state": "optimized geometry", "de_polymorph_mev_per_atom": 20.4, "crystal_system": "tetragonal", "spacegroup": "P4/mmm", "formation_enthalpy_0k_ev_per_atom": 0.054, "lattice_angstrom": [[4.3581, 0.0000, 0.0000], [0.0000, 4.3581, 0.0000], [0.0000, 0.0000, 11.6322]], "species": ["K", "K", "Rb", "Ag"], "frac_coords": [[0.0000, 0.0000, 0.1647], [0.0000, 0.0000, 0.8353], [0.5000, 0.5000, 0.5000], [0.5000, 0.5000, 0.0000]]}



{"formula": "Cs4Tl3Pt2", "functional": "PBE", "state": "optimized geometry", "crystal_system": "monoclinic", "spacegroup": "C2/m", "formation_enthalpy_0k_ev_per_atom": -0.118, "lattice_angstrom": [[9.9652, -2.2228, 0.0000], [9.9652, 2.2228, 0.0000], [-3.2124, 0.0000, 8.6609]], "species": ["Cs", "Cs", "Cs", "Cs", "Tl", "Tl", "Tl", "Pt", "Pt"], "frac_coords": [[0.0762, 0.0762, 0.3792], [0.2769, 0.2769, 0.8180], [0.7231, 0.7231, 0.1820], [0.9238, 0.9238, 0.6208], [0.3970, 0.3970, 0.2307], [0.5000, 0.5000, 0.0000], [0.6030, 0.6030, 0.7693], [0.0789, 0.0789, 0.9303], [0.9211, 0.9211, 0.0697]]}



{"formula": "SnSeBrN2", "functional": "PBE", "state": "optimized geometry", "de_polymorph_mev_per_atom": 545.2, "raw_formation_energy_ev_per_atom": 1.839, "crystal_system": "tetragonal", "spacegroup": "P4/mmm", "lattice_angstrom": [[4.3165, 0.0000, 0.0000], [0.0000, 4.3165, 0.0000], [0.0000, 0.0000, 5.2686]], "species": ["Sn", "Se", "Br", "N", "N"], "frac_coords": [[0.0000, 0.0000, 0.0000], [0.5000, 0.5000, 0.0000], [0.5000, 0.5000, 0.5000], [0.0000, 0.5000, 0.5000], [0.5000, 0.0000, 0.5000]]}



{"formula": "Sm5Tm2Sc4", "functional": "PBE", "state": "optimized geometry", "crystal_system": "monoclinic", "spacegroup": "C2/m", "formation_enthalpy_0k_ev_per_atom": 0.178, "lattice_angstrom": [[11.7766, -1.6796, 0.0000], [11.7766, 1.6796, 0.0000], [-0.7995, 0.0000, 8.3780]], "species": ["Sm", "Sm", "Sm", "Sm", "Sm", "Tm", "Tm", "Sc", "Sc", "Sc", "Sc"], "frac_coords": [[0.0000, 0.0000, 0.0000], [0.2687, 0.2687, 0.2066], [0.3603, 0.3603, 0.8791], [0.6397, 0.6397, 0.1209], [0.7313, 0.7313, 0.7934], [0.4085, 0.4085, 0.2682], [0.5915, 0.5915, 0.7318], [0.1647, 0.1647, 0.4630], [0.4552, 0.4552, 0.6336], [0.5448, 0.5448, 0.3664], [0.8353, 0.8353, 0.5370]]}



{"formula": "ZnBOs2Br", "functional": "PBE", "state": "optimized geometry", "raw_formation_energy_ev_per_atom": 0.962, "crystal_system": "tetragonal", "spacegroup": "P4/mmm", "lattice_angstrom": [[4.2213, 0.0000, 0.0000], [0.0000, 4.2213, 0.0000], [0.0000, 0.0000, 4.1263]], "species": ["Zn", "B", "Os", "Os", "Br"], "frac_coords": [[0.0000, 0.0000, 0.0000], [0.0000, 0.0000, 0.5000], [0.0000, 0.5000, 0.5000], [0.5000, 0.0000, 0.5000], [0.5000, 0.5000, 0.0000]]}



Number 1: total magnetization 0.000 μB per cell. Number 2: total magnetization 0.000 μB per cell. Number 3: total magnetization 0.003 μB per cell. Number 4: total magnetization 0.000 μB per cell. Number 5: total magnetization 0.009 μB per cell. Number 6: total magnetization 2.316 μB per cell. Number 7: total magnetization 0.000 μB per cell. Number 8: total magnetization 0.000 μB per cell.